# 1
Computed, not measured: ScAgC2Br after structural relaxation at the GGA-PBE level of DFT.

Results
total DFT energy (no corrections) = -20.9 eV for the cell shown
size of the total moment = 0.69 μB/f.u.
E_form (uncorrected) = 1.689 eV per atom

Cell: 4.024 5.735 4.024 Å, 90.00 90.00 90.00°
Sites, in units of the cell vectors:
Sc1 0.000 0.500 0.000
C1 0.000 0.000 0.500
C2 0.500 0.000 0.000
Br1 0.500 0.500 0.500
Ag1 0.000 0.000 0.000

# 2
Computed, not measured: AgCSe2Br after structural relaxation at the GGA-PBE level of DFT.

Results
total DFT energy (no corrections) = -16.0 eV for the cell shown
excess energy over the best structure of this formula in the dataset = 0 meV per atom
size of the total moment = 0.00 μB/f.u.
E_form (uncorrected) = 0.939 eV per atom

Cell: 4.153 4.153 8.323 Å, 90.00 90.00 90.00°
Sites, in units of the cell vectors:
C1 0.000 0.000 0.000
Se1 0.000 0.500 0.000
Se2 0.500 0.000 0.000
Br1 0.000 0.000 0.500
Ag1 0.500 0.500 0.500

# 3
Computed, not measured: AgCSe2Br after structural relaxation at the GGA-PBE level of DFT.

Results
total DFT energy (no corrections) = -11.4 eV for the cell shown
excess energy over the best structure of this formula in the dataset = 920 meV per atom
size of the total moment = 0.59 μB/f.u.
E_form (uncorrected) = 1.860 eV per atom

Cell: 5.192 5.192 5.171 Å, 90.00 90.00 90.00°
Sites, in units of the cell vectors:
C1 0.500 0.500 0.500
Se1 0.000 0.500 0.000
Se2 0.500 0.000 0.000
Br1 0.000 0.000 0.500
Ag1 0.000 0.000 0.000